Below is an optimized crystal structure of UMnGa5, with properties calculated at the GGA-PBE level.

Cell: 4.334 4.334 6.728 Å, 90.00 90.00 90.00°
Site moments in Bohr magnetons follow the coordinates.
Atoms (fractional coordinates):
Mn 0.000 0.000 0.500  2.39
Ga 0.000 0.500 0.697  -0.05
Ga 0.500 0.000 0.697  -0.05
Ga 0.500 0.000 0.303  -0.05
Ga 0.500 0.500 0.000  -0.01
Ga 0.000 0.500 0.303  -0.05
U 0.000 0.000 0.000  -1.85

Output
Crystal system: tetragonal
Uncorrected energy in eV per atom: -5.314
Theoretical density in g/cm3: 8.43
Space-group type: P4/mmm, No. 123
Formation energy in eV/f.u.: -1.61